## WCNO2 (GGA+U)

Data for an optimized crystal structure of WCNO2.

Cell lengths 4.1483, 4.1483, 2.5748 Å; angles 90.00, 90.00, 90.00 degrees
Last column: nearest neighbours and their distance in Å.
Fractional coordinates of all 5 atoms:
C (0.0000, 0.0000, 0.0000)  2 N 1.29
O (0.0000, 0.5000, 0.0000)  2 C 2.07
O (0.5000, 0.0000, 0.0000)  2 C 2.07
W (0.5000, 0.5000, 0.5000)  8 O 2.44, 2 W 2.57
N (0.0000, 0.0000, 0.5000)  2 C 1.29

Fermi-level density of states: 0.70 states/eV/f.u.
Total energy: -6.194 eV per atom